1.
! Tb5Pm2Sm (PBE, relaxed); values from VASP
! V in Å³ per cell: 524.06
! Crystal system: orthorhombic
! Formation energy from the elements in eV/atom: 0.015
! Symmetry: Pbam
! Energy relative to the lowest polymorph listed for this composition in eV per atom: 0.000
&SYSTEM
  ibrav = 0, nat = 16, ntyp = 3
/
ATOMIC_SPECIES
Tb 158.93 Tb.upf
Pm 145.00 Pm.upf
Sm 150.36 Sm.upf
ATOMIC_POSITIONS crystal
Tb 0.000 0.000 0.000
Tb 0.000 0.500 0.500
Tb 0.000 0.500 0.750
Tb 0.000 0.500 0.250
Tb 0.000 0.000 0.250
Tb 0.000 0.000 0.750
Tb 0.500 0.250 0.875
Tb 0.500 0.750 0.125
Tb 0.500 0.250 0.375
Tb 0.500 0.750 0.625
Pm 0.500 0.250 0.625
Pm 0.500 0.750 0.375
Pm 0.500 0.250 0.125
Pm 0.500 0.750 0.875
Sm 0.000 0.000 0.500
Sm 0.000 0.500 0.000
CELL_PARAMETERS angstrom
5.072 0.000 0.000
0.000 7.187 0.000
0.000 0.000 14.375



2.
! Tb8Pm3Sm2 (PBE, relaxed); values from VASP
! V in Å³ per cell: 444.84
! Crystal system: monoclinic
! Formation energy from the elements in eV/atom: 0.240
! Symmetry: C2/m
! Energy relative to the lowest polymorph listed for this composition in eV per atom: 0.224
&SYSTEM
  ibrav = 0, nat = 13, ntyp = 3
/
ATOMIC_SPECIES
Tb 158.93 Tb.upf
Pm 145.00 Pm.upf
Sm 150.36 Sm.upf
ATOMIC_POSITIONS crystal
Tb 0.001 0.668 0.336
Tb 0.999 0.332 0.664
Tb 0.000 0.133 0.266
Tb 0.000 0.867 0.734
Tb 0.500 0.602 0.785
Tb 0.500 0.183 0.785
Tb 0.500 0.817 0.215
Tb 0.500 0.398 0.215
Pm 0.500 0.000 0.000
Pm 0.000 0.291 0.000
Pm 0.000 0.709 0.000
Sm 0.499 0.242 0.483
Sm 0.501 0.758 0.517
CELL_PARAMETERS angstrom
5.599 0.000 0.811
0.000 7.699 0.000
-1.468 -3.850 10.106